Here is a geometry-optimized CrCu2N structure from the Alexandria database. Energies are from PBE.

Summary:
Spin magnetization: 2.63 μB per formula unit
E_form (uncorrected): 0.402 eV per atom
Space-group type: No. 122

Cell and atoms, written as POSCAR:
```
CrCu2N
1.0
7.137 0.000 0.000
0.000 7.137 0.000
3.569 3.569 1.900
N Cr Cu
2 2 4
direct
0.250 0.750 0.500
0.500 0.500 0.000
0.750 0.250 0.500
0.000 0.000 0.000
0.875 0.771 0.750
0.375 0.479 0.750
0.521 0.125 0.250
0.229 0.625 0.250
```